Entry from Alexandria: LaSc2Te2 after structural relaxation (GGA-PBE).

Calculated values
space-group type = I4/mmm (139)
raw total energy = -5.738 eV/atom
theoretical density = 5.93 g/cm³
magnetization = 1.4 μB/f.u.

Structure (CIF):
```
data_LaSc2Te2
_cell_length_a 8.0692
_cell_length_b 8.0692
_cell_length_c 8.0692
_cell_angle_alpha 149.42
_cell_angle_beta 149.42
_cell_angle_gamma 43.80
_space_group_name_H-M_alt 'P 1'
_space_group_IT_number 1
_space_group_name_Hall 'P 1'
loop_
_atom_site_label
_atom_site_type_symbol
_atom_site_fract_x
_atom_site_fract_y
_atom_site_fract_z
_atom_site_occupancy
La1 La 0.0000 0.0000 0.0000 1
Sc1 Sc 0.2500 0.7500 0.5000 1
Sc2 Sc 0.7500 0.2500 0.5000 1
Te1 Te 0.3870 0.3870 0.0000 1
Te2 Te 0.6130 0.6130 0.0000 1
```